Record 1
Computed, not measured: a relaxed Sm8Y4Th crystal at the PBE level of DFT.

Properties
DFT formation energy in eV/atom: 0.45
SG: R-3m, No. 166

```
Sm8Y4Th
1.0
10.342 -0.001 -5.580
-6.676 9.671 -0.001
-2.916 -2.012 6.970
Sm Th Y
8 1 4
Direct
0.164 0.832 0.996
0.663 0.832 0.996
0.836 0.668 0.004
0.164 0.332 0.996
0.836 0.168 0.004
0.337 0.168 0.004
0.519 0.760 0.279
0.481 0.240 0.721
0.000 0.500 0.500
0.500 0.500 0.000
0.500 0.000 0.000
0.000 0.000 0.000
0.000 0.500 0.000
```



Record 2
Computed, not measured: a relaxed CdReBiI2 crystal at the PBE level of DFT.

Properties
SG: P4/mmm, No. 123
Uncorrected formation energy in eV/f.u.: 6.78

```
CdReBiI2
1.0
6.192 0.000 0.000
0.000 5.966 0.000
0.000 0.000 6.192
Bi I Re Cd
1 2 1 1
Direct
0.000 0.000 0.000
0.000 0.000 0.500
0.500 0.000 0.000
0.500 0.500 0.500
0.000 0.500 0.000
```



> Which formula does entry 1 have?

Sm8Y4Th



What did the second record say?
Computed, not measured: a relaxed CdReBiI2 crystal at the PBE level of DFT.

Properties
SG: P4/mmm, No. 123
Uncorrected formation energy in eV/f.u.: 6.78

```
CdReBiI2
1.0
6.192 0.000 0.000
0.000 5.966 0.000
0.000 0.000 6.192
Bi I Re Cd
1 2 1 1
Direct
0.000 0.000 0.000
0.000 0.000 0.500
0.500 0.000 0.000
0.500 0.500 0.500
0.000 0.500 0.000
```